Record 1
Here is YTaMn2 after structural relaxation from the Alexandria database. Energies are from PBE.

**Raw total energy**: -35.55 eV for the cell shown
**Volume**: 17.22 A^3/atom
**DFT formation energy**: 1.10 eV per formula unit

Unit cell a=2.9450 b=2.9450 c=7.9438 alpha=90.00 beta=90.00 gamma=90.00
Fractional positions:
Y: 0.0000 0.0000 0.0000
Ta: 0.5000 0.5000 0.6587
Mn: 0.0000 0.0000 0.4264
Mn: 0.5000 0.5000 0.2773

Record 2
Here is YTaMn2 after structural relaxation from the Alexandria database. Energies are from PBE.

**Raw total energy**: -70.57 eV for the cell shown
**Volume**: 17.44 A^3/atom
**DFT formation energy**: 1.37 eV per formula unit

Unit cell a=2.9619 b=4.7785 c=9.8562 alpha=90.00 beta=90.00 gamma=90.00
Fractional positions:
Y: 0.0000 0.0000 0.0000
Y: 0.5000 0.5000 0.5000
Ta: 0.0000 0.5000 0.2115
Ta: 0.5000 0.0000 0.7115
Mn: 0.0000 0.0000 0.4794
Mn: 0.0000 0.5000 0.7833
Mn: 0.5000 0.0000 0.2833
Mn: 0.5000 0.5000 0.9794

Record 3
Here is YTaMn2 after structural relaxation from the Alexandria database. Energies are from PBE.

**Raw total energy**: -35.55 eV for the cell shown
**Volume**: 16.49 A^3/atom
**DFT formation energy**: 1.11 eV per formula unit

Unit cell a=4.5804 b=4.5804 c=3.1431 alpha=90.00 beta=90.00 gamma=90.00
Fractional positions:
Y: 0.0000 0.0000 0.0000
Ta: 0.5000 0.5000 0.0000
Mn: 0.0000 0.5000 0.5000
Mn: 0.5000 0.0000 0.5000

Record 4
Here is YTaMn after structural relaxation from the Alexandria database. Energies are from PBE.

**Raw total energy**: -103.01 eV for the cell shown
**Volume**: 20.53 A^3/atom
**DFT formation energy**: 1.73 eV per formula unit

Unit cell a=6.2688 b=6.2688 c=6.2688 alpha=90.00 beta=90.00 gamma=90.00
Fractional positions:
Y: 0.0000 0.0000 0.0000
Y: 0.0000 0.5000 0.5000
Y: 0.5000 0.0000 0.5000
Y: 0.5000 0.5000 0.0000
Ta: 0.0000 0.0000 0.5000
Ta: 0.0000 0.5000 0.0000
Ta: 0.5000 0.0000 0.0000
Ta: 0.5000 0.5000 0.5000
Mn: 0.2500 0.2500 0.2500
Mn: 0.2500 0.7500 0.7500
Mn: 0.7500 0.2500 0.7500
Mn: 0.7500 0.7500 0.2500

Record 5
Here is YTaMn2 after structural relaxation from the Alexandria database. Energies are from PBE.

**Raw total energy**: -136.18 eV for the cell shown
**Volume**: 18.97 A^3/atom
**DFT formation energy**: 2.61 eV per formula unit

Unit cell a=7.1471 b=7.1471 c=5.9408 alpha=90.00 beta=90.00 gamma=90.00
Fractional positions:
Y: 0.0000 0.0000 0.0000
Y: 0.0000 0.5000 0.2500
Y: 0.5000 0.0000 0.7500
Y: 0.5000 0.5000 0.5000
Ta: 0.0000 0.0000 0.5000
Ta: 0.0000 0.5000 0.7500
Ta: 0.5000 0.0000 0.2500
Ta: 0.5000 0.5000 0.0000
Mn: 0.2158 0.7500 0.6250
Mn: 0.2500 0.2158 0.3750
Mn: 0.2500 0.2842 0.8750
Mn: 0.2842 0.7500 0.1250
Mn: 0.7158 0.2500 0.1250
Mn: 0.7500 0.7158 0.8750
Mn: 0.7500 0.7842 0.3750
Mn: 0.7842 0.2500 0.6250

Record 6
Here is YTa3Mn after structural relaxation from the Alexandria database. Energies are from PBE.

**Raw total energy**: -48.41 eV for the cell shown
**Volume**: 20.89 A^3/atom
**DFT formation energy**: 2.78 eV per formula unit

Unit cell a=4.7097 b=4.7097 c=4.7097 alpha=90.00 beta=90.00 gamma=90.00
Fractional positions:
Y: 0.0000 0.0000 0.0000
Ta: 0.0000 0.5000 0.5000
Ta: 0.5000 0.0000 0.5000
Ta: 0.5000 0.5000 0.0000
Mn: 0.5000 0.5000 0.5000

Record 7
Here is YTaMn2 after structural relaxation from the Alexandria database. Energies are from PBE.

**Raw total energy**: -69.68 eV for the cell shown
**Volume**: 17.88 A^3/atom
**DFT formation energy**: 1.82 eV per formula unit

Unit cell a=3.9277 b=3.9277 c=9.2743 alpha=90.00 beta=90.00 gamma=90.00
Fractional positions:
Y: 0.0000 0.0000 0.0000
Y: 0.5000 0.5000 0.5000
Ta: 0.0000 0.5000 0.2500
Ta: 0.5000 0.0000 0.7500
Mn: 0.0000 0.0000 0.5000
Mn: 0.0000 0.5000 0.7500
Mn: 0.5000 0.0000 0.2500
Mn: 0.5000 0.5000 0.0000

Record 8
Here is YTaMn after structural relaxation from the Alexandria database. Energies are from PBE.

**Raw total energy**: -91.23 eV for the cell shown
**Volume**: 24.23 A^3/atom
**DFT formation energy**: 4.68 eV per formula unit

Unit cell a=6.6249 b=6.6249 c=6.6249 alpha=90.00 beta=90.00 gamma=90.00
Fractional positions:
Y: 0.0000 0.0000 0.0000
Y: 0.0000 0.5000 0.5000
Y: 0.5000 0.0000 0.5000
Y: 0.5000 0.5000 0.0000
Ta: 0.2500 0.2500 0.7500
Ta: 0.2500 0.7500 0.2500
Ta: 0.7500 0.2500 0.2500
Ta: 0.7500 0.7500 0.7500
Mn: 0.2500 0.2500 0.2500
Mn: 0.2500 0.7500 0.7500
Mn: 0.7500 0.2500 0.7500
Mn: 0.7500 0.7500 0.2500

Record 9
Here is YTa4Mn after structural relaxation from the Alexandria database. Energies are from PBE.

**Raw total energy**: -60.44 eV for the cell shown
**Volume**: 20.54 A^3/atom
**DFT formation energy**: 2.60 eV per formula unit

Unit cell a=5.5860 b=5.5860 c=5.5860 alpha=60.00 beta=60.00 gamma=60.00
Fractional positions:
Y: 0.0000 0.0000 0.0000
Ta: 0.3740 0.3740 0.3740
Ta: 0.3740 0.3740 0.8780
Ta: 0.3740 0.8780 0.3740
Ta: 0.8780 0.3740 0.3740
Mn: 0.7500 0.7500 0.7500

Record 10
Here is YTaMn2 after structural relaxation from the Alexandria database. Energies are from PBE.

**Raw total energy**: -36.21 eV for the cell shown
**Volume**: 18.00 A^3/atom
**DFT formation energy**: 0.45 eV per formula unit

Unit cell a=3.2363 b=3.2363 c=6.8737 alpha=90.00 beta=90.00 gamma=90.00
Fractional positions:
Y: 0.0000 0.0000 0.0000
Ta: 0.0000 0.0000 0.5000
Mn: 0.5000 0.5000 0.3035
Mn: 0.5000 0.5000 0.6965

Record 11
Here is YTaMn2 after structural relaxation from the Alexandria database. Energies are from PBE.

**Raw total energy**: -34.43 eV for the cell shown
**Volume**: 18.07 A^3/atom
**DFT formation energy**: 2.23 eV per formula unit

Unit cell a=4.9302 b=2.8896 c=5.3583 alpha=90.00 beta=108.75 gamma=90.00
Fractional positions:
Y: 0.0000 0.0000 0.0000
Ta: 0.5000 0.5000 0.5000
Mn: 0.0000 0.0000 0.5000
Mn: 0.5000 0.5000 0.0000

Record 12
Here is YTaMn after structural relaxation from the Alexandria database. Energies are from PBE.

**Raw total energy**: -26.13 eV for the cell shown
**Volume**: 19.06 A^3/atom
**DFT formation energy**: 1.36 eV per formula unit

Unit cell a=4.4235 b=4.4235 c=3.3746 alpha=90.00 beta=90.00 gamma=120.00
Fractional positions:
Y: 0.0000 0.0000 0.0000
Ta: 0.6667 0.3333 0.5520
Mn: 0.3333 0.6667 0.3699